Compound: BaPb2Au
Source: Alexandria via LeMat-Bulk
Functional: GGA-PBEsol
Structure: relaxed

Values from the calculation:
E_form	-10.17	kcal/mol of atoms
DFT total energy	-3.9585	eV per atom
size of the total moment	0.000	μB/f.u.

```
BaPb2Au
1.0
4.721 0.000 0.000
0.000 5.264 0.032
0.000 -1.421 5.071
Au Pb Ba
1 2 1
direct
0.500 0.000 0.500 Au
0.000 0.190 0.310 Pb
0.000 0.810 0.690 Pb
0.500 0.500 0.000 Ba
```


Compound: Ba2PbAu
Source: Alexandria via LeMat-Bulk
Functional: GGA-PBEsol
Structure: relaxed

Values from the calculation:
E_form	-12.51	kcal/mol of atoms
DFT total energy	-3.5978	eV per atom
size of the total moment	0.000	μB/f.u.

```
Ba2PbAu
1.0
-2.156 3.235 -0.661
-0.323 -1.389 -5.746
-4.947 -3.087 1.025
Au Pb Ba
1 1 2
direct
0.500 0.000 0.000 Au
0.500 0.500 0.500 Pb
0.000 0.000 0.500 Ba
0.000 0.500 0.000 Ba
```


Compound: Ba3PbAu
Source: Alexandria via LeMat-Bulk
Functional: GGA-PBEsol
Structure: relaxed

Values from the calculation:
E_form	-6.89	kcal/mol of atoms
DFT total energy	-3.1728	eV per atom
size of the total moment	0.001	μB/f.u.

```
Ba3PbAu
1.0
6.115 0.000 0.000
0.000 6.115 0.000
0.000 0.000 6.115
Au Ba Pb
1 3 1
direct
0.000 0.000 0.000 Au
0.000 0.000 0.500 Ba
0.500 0.000 0.000 Ba
0.000 0.500 0.000 Ba
0.500 0.500 0.500 Pb
```


Compound: BaPbAu2
Source: Alexandria via LeMat-Bulk
Functional: GGA-PBEsol
Structure: relaxed

Values from the calculation:
E_form	-9.81	kcal/mol of atoms
DFT total energy	-3.9242	eV per atom
size of the total moment	0.000	μB/f.u.

```
BaPbAu2
1.0
4.902 0.000 0.000
2.451 4.245 0.000
2.451 1.415 5.390
Au Ba Pb
2 1 1
direct
0.212 0.212 0.364 Au
0.788 0.788 0.636 Au
0.000 0.000 0.000 Ba
0.500 0.500 0.500 Pb
```


Compound: BaPb2Au
Source: Alexandria via LeMat-Bulk
Functional: GGA-PBEsol
Structure: relaxed

Values from the calculation:
E_form	-9.18	kcal/mol of atoms
DFT total energy	-3.9158	eV per atom
size of the total moment	0.000	μB/f.u.

```
BaPb2Au
1.0
4.755 0.000 0.000
2.378 4.118 0.000
2.378 1.373 6.165
Ba Pb Au
1 2 1
direct
0.000 0.000 0.000 Ba
0.220 0.220 0.339 Pb
0.780 0.780 0.661 Pb
0.500 0.500 0.500 Au
```


Compound: BaPb2Au
Source: Alexandria via LeMat-Bulk
Functional: GGA-PBEsol
Structure: relaxed

Values from the calculation:
E_form	-8.29	kcal/mol of atoms
DFT total energy	-3.8771	eV per atom
size of the total moment	0.000	μB/f.u.

```
BaPb2Au
1.0
4.008 0.000 0.000
0.000 5.064 0.000
0.000 -2.532 6.055
Ba Au Pb
1 1 2
direct
0.500 0.612 0.223 Ba
0.000 0.148 0.296 Au
0.500 0.326 0.653 Pb
0.000 0.906 0.811 Pb
```


Question: DFT total energy of number 2 (Ba2PbAu)?
Answer: -3.5978 eV per atom


Question: E_form of number 1 (BaPb2Au)?
Answer: -10.17 kcal/mol of atoms